Entry from the Alexandria database: a geometry-optimized TmScU2As4 structure (GGA-PBE).

The structure in POSCAR format:
```
TmScU2As4
1.0
6.963 0.000 0.000
0.000 4.004 0.000
-2.303 0.000 6.629
Tm Sc U As
1 1 2 4
direct
0.000 0.000 0.000
0.500 0.500 0.000
0.000 0.500 0.500
0.500 0.000 0.500
0.253 0.500 0.244
0.258 0.000 0.759
0.742 0.000 0.241
0.747 0.500 0.756
```

## Properties
- Total magnetization: 0.1 μB/f.u.
- Space-group type: P2/m, No. 10

Entry from the Alexandria database: a geometry-optimized Y3TmSc2As6 structure (GGA-PBE).

The structure in POSCAR format:
```
Y3TmSc2As6
1.0
3.497 -6.056 0.000
3.497 6.056 0.000
-2.330 0.000 6.582
Y Tm Sc As
3 1 2 6
direct
0.000 0.000 0.000
0.335 0.665 0.000
0.665 0.335 0.000
0.500 0.500 0.500
0.167 0.833 0.500
0.833 0.167 0.500
0.081 0.420 0.261
0.240 0.240 0.737
0.420 0.081 0.261
0.580 0.919 0.739
0.760 0.760 0.263
0.919 0.580 0.739
```

## Properties
- Total magnetization: 0.0 μB/f.u.
- Space-group type: C2/m, No. 12

Entry from the Alexandria database: a geometry-optimized YTm2ScAs4 structure (GGA-PBE).

The structure in POSCAR format:
```
YTm2ScAs4
1.0
6.988 0.000 0.000
0.000 4.039 0.000
-2.330 0.000 6.591
Y Tm Sc As
1 2 1 4
direct
0.000 0.000 0.000
0.000 0.500 0.500
0.500 0.000 0.500
0.500 0.500 0.000
0.256 0.500 0.249
0.259 0.000 0.756
0.741 0.000 0.244
0.744 0.500 0.751
```

## Properties
- Total magnetization: 0.0 μB/f.u.
- Space-group type: P2/m, No. 10

Entry from the Alexandria database: a geometry-optimized Y2TmScAs4 structure (GGA-PBE).

The structure in POSCAR format:
```
Y2TmScAs4
1.0
7.012 0.000 0.000
0.000 4.054 0.000
-2.340 0.000 6.614
Y Tm Sc As
2 1 1 4
direct
0.000 0.000 0.000
0.000 0.500 0.500
0.500 0.000 0.500
0.500 0.500 0.000
0.258 0.500 0.248
0.262 0.000 0.759
0.738 0.000 0.241
0.742 0.500 0.752
```

## Properties
- Total magnetization: 0.0 μB/f.u.
- Space-group type: P2/m, No. 10

Entry from the Alexandria database: a geometry-optimized YTm2Sc3As6 structure (GGA-PBE).

The structure in POSCAR format:
```
YTm2Sc3As6
1.0
3.453 -5.980 0.000
3.453 5.980 0.000
-2.298 0.000 6.493
Y Tm Sc As
1 2 3 6
direct
0.000 0.000 0.000
0.333 0.667 0.000
0.667 0.333 0.000
0.166 0.834 0.500
0.500 0.500 0.500
0.834 0.166 0.500
0.088 0.423 0.263
0.248 0.248 0.737
0.423 0.088 0.263
0.577 0.912 0.737
0.752 0.752 0.263
0.912 0.577 0.737
```

## Properties
- Total magnetization: 0.0 μB/f.u.
- Space-group type: C2/m, No. 12

Entry from the Alexandria database: a geometry-optimized Tm2ZrScAs4 structure (GGA-PBE).

The structure in POSCAR format:
```
Tm2ZrScAs4
1.0
6.851 0.000 0.000
0.000 3.959 0.000
-2.274 0.000 6.481
Tm Zr Sc As
2 1 1 4
direct
0.000 0.000 0.000
0.500 0.500 0.000
0.000 0.500 0.500
0.500 0.000 0.500
0.247 0.000 0.740
0.254 0.500 0.261
0.746 0.500 0.739
0.753 0.000 0.260
```

## Properties
- Total magnetization: 0.0 μB/f.u.
- Space-group type: P2/m, No. 10

Entry from the Alexandria database: a geometry-optimized ScUAs2 structure (GGA-PBE).

The structure in POSCAR format:
```
ScUAs2
1.0
3.871 0.000 0.000
-1.936 3.352 0.000
0.000 0.000 20.960
Sc U As
3 3 6
direct
0.000 0.000 0.000
0.333 0.667 0.667
0.667 0.333 0.333
0.000 0.000 0.829
0.333 0.667 0.496
0.667 0.333 0.162
0.000 0.000 0.408
0.000 0.000 0.587
0.333 0.667 0.074
0.333 0.667 0.253
0.667 0.333 0.741
0.667 0.333 0.920
```

## Properties
- Total magnetization: 2.9 μB/f.u.
- Excess energy over the best structure of this formula in the dataset: 0.46 eV per formula unit
- Space-group type: R3m, No. 160

Entry from the Alexandria database: a geometry-optimized ScUAs2 structure (GGA-PBE).

The structure in POSCAR format:
```
ScUAs2
1.0
3.963 0.000 0.000
-1.981 3.432 0.000
0.000 0.000 19.719
Sc U As
3 3 6
direct
0.000 0.000 0.000
0.333 0.667 0.667
0.667 0.333 0.333
0.000 0.000 0.500
0.333 0.667 0.167
0.667 0.333 0.833
0.000 0.000 0.255
0.000 0.000 0.745
0.333 0.667 0.412
0.333 0.667 0.921
0.667 0.333 0.079
0.667 0.333 0.588
```

## Properties
- Total magnetization: 2.4 μB/f.u.
- Excess energy over the best structure of this formula in the dataset: 0.00 eV per formula unit
- Space-group type: R-3m, No. 166

Entry from the Alexandria database: a geometry-optimized Sc2UAs3 structure (GGA-PBE).

The structure in POSCAR format:
```
Sc2UAs3
1.0
3.410 -5.905 0.000
3.410 5.905 0.000
-2.277 0.000 6.492
Sc U As
4 2 6
direct
0.000 0.000 0.000
0.167 0.833 0.500
0.500 0.500 0.500
0.833 0.167 0.500
0.334 0.666 0.000
0.666 0.334 0.000
0.086 0.414 0.258
0.241 0.241 0.740
0.414 0.086 0.258
0.586 0.914 0.742
0.759 0.759 0.260
0.914 0.586 0.742
```

## Properties
- Total magnetization: 2.3 μB/f.u.
- Space-group type: C2/m, No. 12

Entry from the Alexandria database: a geometry-optimized Sc5UAs6 structure (GGA-PBE).

The structure in POSCAR format:
```
Sc5UAs6
1.0
3.388 -5.875 0.000
3.388 5.875 0.000
-2.263 0.000 6.383
Sc U As
5 1 6
direct
0.000 0.000 0.000
0.167 0.833 0.500
0.334 0.666 0.000
0.666 0.334 0.000
0.833 0.167 0.500
0.500 0.500 0.500
0.078 0.415 0.246
0.246 0.246 0.751
0.415 0.078 0.246
0.585 0.922 0.754
0.754 0.754 0.249
0.922 0.585 0.754
```

## Properties
- Total magnetization: 1.9 μB/f.u.
- Space-group type: C2/m, No. 12

Entry from the Alexandria database: a geometry-optimized Sc3U5As8 structure (GGA-PBE).

The structure in POSCAR format:
```
Sc3U5As8
1.0
3.998 2.308 6.601
-3.998 2.308 6.601
0.000 -4.617 6.601
Sc U As
3 5 8
direct
0.000 0.500 0.500
0.500 0.000 0.500
0.500 0.500 0.000
0.000 0.000 0.000
0.000 0.000 0.500
0.000 0.500 0.000
0.500 0.000 0.000
0.500 0.500 0.500
0.250 0.250 0.739
0.250 0.739 0.250
0.254 0.254 0.254
0.261 0.750 0.750
0.739 0.250 0.250
0.746 0.746 0.746
0.750 0.261 0.750
0.750 0.750 0.261
```

## Properties
- Total magnetization: 12.3 μB/f.u.
- Space-group type: R-3m, No. 166

Entry from the Alexandria database: a geometry-optimized Sc3UAs4 structure (GGA-PBE).

The structure in POSCAR format:
```
Sc3UAs4
1.0
5.584 0.000 0.000
0.000 5.584 0.000
0.000 0.000 11.087
Sc U As
6 2 8
direct
0.000 0.000 0.000
0.000 0.500 0.250
0.000 0.500 0.750
0.500 0.000 0.250
0.500 0.000 0.750
0.500 0.500 0.500
0.000 0.000 0.500
0.500 0.500 0.000
0.000 0.000 0.248
0.000 0.000 0.752
0.000 0.500 0.000
0.000 0.500 0.500
0.500 0.000 0.000
0.500 0.000 0.500
0.500 0.500 0.252
0.500 0.500 0.748
```

## Properties
- Total magnetization: 2.3 μB/f.u.
- Space-group type: I4/mmm, No. 139

Entry from the Alexandria database: a geometry-optimized ScU3As4 structure (GGA-PBE).

The structure in POSCAR format:
```
ScU3As4
1.0
7.030 0.000 0.000
0.000 8.082 0.000
-2.337 0.000 6.570
Sc U As
2 6 8
direct
0.000 0.123 0.250
0.000 0.877 0.750
0.000 0.373 0.750
0.000 0.627 0.250
0.500 0.124 0.750
0.500 0.374 0.250
0.500 0.626 0.750
0.500 0.876 0.250
0.241 0.120 0.999
0.241 0.880 0.499
0.243 0.369 0.494
0.243 0.631 0.994
0.757 0.369 0.006
0.757 0.631 0.506
0.759 0.120 0.501
0.759 0.880 0.001
```

## Properties
- Total magnetization: 7.5 μB/f.u.
- Space-group type: P2/c, No. 13

Entry from the Alexandria database: a geometry-optimized YSc2UAs4 structure (GGA-PBE).

The structure in POSCAR format:
```
YSc2UAs4
1.0
6.896 0.000 0.000
0.000 3.985 0.000
-2.287 0.000 6.538
Y Sc U As
1 2 1 4
direct
0.000 0.000 0.000
0.500 0.000 0.500
0.500 0.500 0.000
0.000 0.500 0.500
0.263 0.500 0.258
0.264 0.000 0.753
0.736 0.000 0.247
0.737 0.500 0.742
```

## Properties
- Total magnetization: 2.3 μB/f.u.
- Space-group type: P2/m, No. 10

Entry from the Alexandria database: a geometry-optimized ZrSc2UAs4 structure (GGA-PBE).

The structure in POSCAR format:
```
ZrSc2UAs4
1.0
6.787 0.000 0.000
0.000 3.922 0.000
-2.239 0.000 6.437
Zr Sc U As
1 2 1 4
direct
0.000 0.000 0.000
0.000 0.500 0.500
0.500 0.000 0.500
0.500 0.500 0.000
0.241 0.000 0.739
0.247 0.500 0.255
0.753 0.500 0.745
0.759 0.000 0.261
```

## Properties
- Total magnetization: 2.5 μB/f.u.
- Space-group type: P2/m, No. 10

Entry from the Alexandria database: a geometry-optimized ZrScU2As5 structure (GGA-PBE).

The structure in POSCAR format:
```
ZrScU2As5
1.0
4.819 0.000 0.000
0.000 4.819 0.000
0.000 0.000 10.175
Zr Sc U As
1 1 2 5
direct
0.000 0.000 0.000
0.000 0.000 0.500
0.500 0.500 0.199
0.500 0.500 0.801
0.000 0.000 0.257
0.000 0.000 0.743
0.000 0.500 0.000
0.500 0.000 0.000
0.500 0.500 0.500
```

## Properties
- Total magnetization: 4.2 μB/f.u.
- Space-group type: P4/mmm, No. 123

Entry from the Alexandria database: a geometry-optimized ScV2As2 structure (GGA-PBE).

The structure in POSCAR format:
```
ScV2As2
1.0
3.706 0.000 0.000
0.000 3.706 0.000
0.000 0.000 12.258
Sc V As
2 4 4
direct
0.000 0.000 0.000
0.500 0.500 0.500
0.000 0.500 0.250
0.000 0.500 0.750
0.500 0.000 0.250
0.500 0.000 0.750
0.000 0.000 0.386
0.000 0.000 0.614
0.500 0.500 0.114
0.500 0.500 0.886
```

## Properties
- Total magnetization: 0.0 μB/f.u.
- Excess energy over the best structure of this formula in the dataset: 0.00 eV per formula unit
- Space-group type: I4/mmm, No. 139

Entry from the Alexandria database: a geometry-optimized Sc2VAs structure (GGA-PBE).

The structure in POSCAR format:
```
Sc2VAs
1.0
3.496 0.000 0.000
-1.748 3.028 0.000
0.000 0.000 26.039
Sc V As
6 3 3
direct
0.000 0.000 0.103
0.000 0.000 0.897
0.333 0.667 0.564
0.333 0.667 0.769
0.667 0.333 0.231
0.667 0.333 0.436
0.000 0.000 0.000
0.333 0.667 0.667
0.667 0.333 0.333
0.000 0.000 0.500
0.333 0.667 0.167
0.667 0.333 0.833
```

## Properties
- Total magnetization: 2.8 μB/f.u.
- Space-group type: R-3m, No. 166

Entry from the Alexandria database: a geometry-optimized Sc2VAs structure (GGA-PBE).

The structure in POSCAR format:
```
Sc2VAs
1.0
3.107 0.000 0.000
-1.554 2.691 0.000
0.000 0.000 29.617
Sc V As
6 3 3
direct
0.000 0.000 0.092
0.000 0.000 0.908
0.333 0.667 0.575
0.333 0.667 0.758
0.667 0.333 0.242
0.667 0.333 0.425
0.000 0.000 0.500
0.333 0.667 0.167
0.667 0.333 0.833
0.000 0.000 0.000
0.333 0.667 0.667
0.667 0.333 0.333
```

## Properties
- Total magnetization: 1.1 μB/f.u.
- Space-group type: R-3m, No. 166

Entry from the Alexandria database: a geometry-optimized ScV3As structure (GGA-PBE).

The structure in POSCAR format:
```
ScV3As
1.0
4.456 0.000 0.000
0.000 4.456 0.000
0.000 0.000 4.456
Sc V As
1 3 1
direct
0.000 0.000 0.000
0.000 0.000 0.500
0.000 0.500 0.000
0.500 0.000 0.000
0.500 0.500 0.500
```

## Properties
- Total magnetization: 0.4 μB/f.u.
- Excess energy over the best structure of this formula in the dataset: 5.74 eV per formula unit
- Space-group type: Pm-3m, No. 221

Entry from the Alexandria database: a geometry-optimized Sc2VAs2 structure (GGA-PBE).

The structure in POSCAR format:
```
Sc2VAs2
1.0
6.850 0.000 0.000
0.000 6.850 0.000
0.000 0.000 3.821
Sc V As
4 2 4
direct
0.161 0.339 0.000
0.339 0.839 0.000
0.661 0.161 0.000
0.839 0.661 0.000
0.000 0.000 0.500
0.500 0.500 0.500
0.148 0.648 0.500
0.352 0.148 0.500
0.648 0.852 0.500
0.852 0.352 0.500
```

## Properties
- Total magnetization: 1.7 μB/f.u.
- Space-group type: P4/mbm, No. 127

Entry from the Alexandria database: a geometry-optimized ScVAs2 structure (GGA-PBE).

The structure in POSCAR format:
```
ScVAs2
1.0
3.776 0.000 0.000
-1.888 3.270 0.000
0.000 0.000 18.002
Sc V As
3 3 6
direct
0.000 0.000 0.000
0.333 0.667 0.667
0.667 0.333 0.333
0.000 0.000 0.500
0.333 0.667 0.167
0.667 0.333 0.833
0.000 0.000 0.243
0.000 0.000 0.757
0.333 0.667 0.424
0.333 0.667 0.910
0.667 0.333 0.090
0.667 0.333 0.576
```

## Properties
- Total magnetization: 1.7 μB/f.u.
- Excess energy over the best structure of this formula in the dataset: 0.00 eV per formula unit
- Space-group type: R-3m, No. 166

Entry from the Alexandria database: a geometry-optimized ScVAs2 structure (GGA-PBE).

The structure in POSCAR format:
```
ScVAs2
1.0
6.509 0.000 0.000
0.000 6.509 0.000
0.000 0.000 6.509
Sc V As
4 4 8
direct
0.000 0.000 0.000
0.000 0.500 0.500
0.500 0.000 0.500
0.500 0.500 0.000
0.000 0.000 0.500
0.000 0.500 0.000
0.500 0.000 0.000
0.500 0.500 0.500
0.250 0.250 0.250
0.250 0.250 0.750
0.250 0.750 0.250
0.250 0.750 0.750
0.750 0.250 0.250
0.750 0.250 0.750
0.750 0.750 0.250
0.750 0.750 0.750
```

## Properties
- Total magnetization: 1.7 μB/f.u.
- Excess energy over the best structure of this formula in the dataset: 1.11 eV per formula unit
- Space-group type: Fm-3m, No. 225

Entry from the Alexandria database: a geometry-optimized ScV2As2 structure (GGA-PBE).

The structure in POSCAR format:
```
ScV2As2
1.0
7.049 0.000 0.000
0.000 7.049 0.000
0.000 0.000 3.200
Sc V As
2 4 4
direct
0.000 0.000 0.000
0.500 0.500 0.000
0.139 0.361 0.500
0.361 0.861 0.500
0.639 0.139 0.500
0.861 0.639 0.500
0.148 0.648 0.000
0.352 0.148 0.000
0.648 0.852 0.000
0.852 0.352 0.000
```

## Properties
- Total magnetization: 0.0 μB/f.u.
- Excess energy over the best structure of this formula in the dataset: 0.37 eV per formula unit
- Space-group type: P4/mbm, No. 127

Looking at energy of formation for the records above, in order, we have -1.053; -1.474; -1.471; -1.486; -1.440; -1.383; -0.948; -1.063; -1.155; -1.263; -0.972; -1.198; -0.880; -1.250; -1.151; -0.261; -0.589; 0.106; 0.231; 1.595; -0.866; -0.779; -0.501; -0.515 eV per atom.